Entry 1:
Computed, not measured: a relaxed Sc2FeSbH crystal at the PBE level of DFT.

**ρ**: 5.7 Mg/m³
**E**: -30.9 eV for the cell shown
**Crystal system**: tetragonal

The structure in CIF format:
```
data_Sc2FeSbH
_chemical_formula_sum 'Sc2 Fe1 Sb1 H1'
_symmetry_space_group_name_H-M 'P 4/m m m'
_symmetry_Int_Tables_number 123
_symmetry_space_group_name_Hall '-P 4 2'
_cell_length_a 4.496
_cell_length_b 4.496
_cell_length_c 3.843
_cell_angle_alpha 90.00
_cell_angle_beta 90.00
_cell_angle_gamma 90.00
loop_
_atom_site_label
_atom_site_type_symbol
_atom_site_fract_x
_atom_site_fract_y
_atom_site_fract_z
Sc1 Sc 0.000 0.500 0.000
Fe1 Fe 0.000 0.000 0.500
Sb1 Sb 0.500 0.500 0.500
H1 H 0.000 0.000 0.000
```

***

Entry 2:
Computed, not measured: a relaxed BaLiRh crystal at the PBE level of DFT.

**Energy of formation from the pure elements**: -0.04 eV per atom
**ρ**: 4.2 Mg/m³
**Crystal system**: orthorhombic
**Offset from the most stable computed form**: 21 meV per atom

The structure in CIF format:
```
data_BaLiRh
_chemical_formula_sum 'Ba4 Li4 Rh4'
_symmetry_space_group_name_H-M 'C m c m'
_symmetry_Int_Tables_number 63
_symmetry_space_group_name_Hall '-C 2c 2'
_cell_length_a 4.940
_cell_length_b 15.607
_cell_length_c 5.062
_cell_angle_alpha 90.00
_cell_angle_beta 90.00
_cell_angle_gamma 90.00
loop_
_atom_site_label
_atom_site_type_symbol
_atom_site_fract_x
_atom_site_fract_y
_atom_site_fract_z
Ba1 Ba 0.000 0.103 0.250
Li1 Li 0.000 0.353 0.250
Rh1 Rh 0.000 0.500 0.000
```

***

Entry 3:
Computed, not measured: a relaxed Zn2CrCo2 crystal at the PBE level of DFT.

**Energy of formation from the pure elements**: 0.24 eV per atom
**ρ**: 7.7 Mg/m³
**Crystal system**: tetragonal
**Offset from the most stable computed form**: 226 meV per atom

The structure in CIF format:
```
data_Zn2CrCo2
_chemical_formula_sum 'Zn4 Cr2 Co4'
_symmetry_space_group_name_H-M 'P 4/m b m'
_symmetry_Int_Tables_number 127
_symmetry_space_group_name_Hall '-P 4 2ab'
_cell_length_a 5.819
_cell_length_b 5.819
_cell_length_c 3.837
_cell_angle_alpha 90.00
_cell_angle_beta 90.00
_cell_angle_gamma 90.00
loop_
_atom_site_label
_atom_site_type_symbol
_atom_site_fract_x
_atom_site_fract_y
_atom_site_fract_z
Zn1 Zn 0.170 0.330 0.000
Cr1 Cr 0.000 0.000 0.500
Co1 Co 0.135 0.635 0.500
```

***

Entry 4:
Computed, not measured: a relaxed ZrCoRe crystal at the PBE level of DFT.

**Energy of formation from the pure elements**: -0.30 eV per atom
**ρ**: 11.8 Mg/m³
**Crystal system**: orthorhombic
**Offset from the most stable computed form**: 0 meV per atom

The structure in CIF format:
```
data_ZrCoRe
_chemical_formula_sum 'Zr8 Co8 Re8'
_symmetry_space_group_name_H-M 'A m m 2'
_symmetry_Int_Tables_number 38
_symmetry_space_group_name_Hall 'A 2 -2'
_cell_length_a 8.394
_cell_length_b 5.124
_cell_length_c 8.833
_cell_angle_alpha 90.00
_cell_angle_beta 90.00
_cell_angle_gamma 90.00
loop_
_atom_site_label
_atom_site_type_symbol
_atom_site_fract_x
_atom_site_fract_y
_atom_site_fract_z
Zr1 Zr 0.179 0.000 0.000
Zr2 Zr 0.307 0.000 0.667
Co1 Co 0.000 0.248 0.739
Co2 Co 0.239 0.000 0.330
Re1 Re 0.000 0.000 0.495
Re2 Re 0.500 0.000 0.163
Re3 Re 0.500 0.249 0.916
```

***

Among the records above, which one has the highest ρ? ZrCoRe